Here is a relaxed Zr3TeC crystal from the Alexandria database. Energies are from GGA-PBE.

Output
**E_form (uncorrected)**: -0.333 eV per atom
**Excess energy over the best structure of this formula in the dataset**: 0.446 eV/atom
**Space group**: No. 221

Cell lengths 4.592, 4.592, 4.592 Å; angles 90.00, 90.00, 90.00 degrees
Fractional coordinates of all 5 atoms:
1 Zr 0.000 0.000 0.500
2 Zr 0.000 0.500 0.000
3 Zr 0.500 0.000 0.000
4 Te 0.500 0.500 0.500
5 C 0.000 0.000 0.000


Here is a relaxed Tl8HgPb3 crystal from the Alexandria database. Energies are from GGA-PBE.

Output
**Space group**: No. 162
**Energy of formation from the pure elements**: 0.004 eV/atom

Cell lengths 5.952, 5.952, 12.069 Å; angles 90.00, 90.00, 120.00 degrees
Fractional coordinates of all 12 atoms:
1 Tl 0.000 0.333 0.250
2 Tl 0.000 0.667 0.750
3 Tl 0.333 0.000 0.250
4 Tl 0.333 0.333 0.750
5 Tl 0.333 0.667 0.500
6 Tl 0.667 0.000 0.750
7 Tl 0.667 0.333 0.500
8 Tl 0.667 0.667 0.250
9 Hg 0.000 0.000 0.500
10 Pb 0.000 0.000 0.000
11 Pb 0.333 0.667 0.000
12 Pb 0.667 0.333 0.000


Here is a relaxed LiCrPt crystal from the Alexandria database. Energies are from GGA-PBE.

Output
**Excess energy over the best structure of this formula in the dataset**: 0.487 eV/atom
**Space group**: No. 216
**Energy of formation from the pure elements**: 0.245 eV/atom

Cell lengths 4.040, 4.040, 4.040 Å; angles 60.00, 60.00, 60.00 degrees
Fractional coordinates of all 3 atoms:
1 Li 0.000 0.000 0.000
2 Cr 0.500 0.500 0.500
3 Pt 0.250 0.250 0.250


Here is a relaxed NbRuRh2 crystal from the Alexandria database. Energies are from GGA-PBE.

Output
**Space group**: No. 122
**Energy of formation from the pure elements**: 0.181 eV/atom

Cell lengths 9.477, 9.477, 9.477 Å; angles 156.99, 156.99, 32.77 degrees
Fractional coordinates of all 8 atoms:
1 Nb 0.000 0.000 0.000
2 Nb 0.750 0.250 0.500
3 Ru 0.250 0.750 0.500
4 Ru 0.500 0.500 0.000
5 Rh 0.136 0.625 0.011
6 Rh 0.375 0.386 0.511
7 Rh 0.614 0.125 0.989
8 Rh 0.875 0.864 0.489


Here is a relaxed PPbS2N crystal from the Alexandria database. Energies are from GGA-PBE.

Output
**E_form (uncorrected)**: 1.668 eV per atom
**Excess energy over the best structure of this formula in the dataset**: 1.333 eV/atom
**Space group**: No. 123

Cell lengths 5.280, 5.280, 4.217 Å; angles 90.00, 90.00, 90.00 degrees
Fractional coordinates of all 5 atoms:
1 P 0.000 0.000 0.000
2 Pb 0.500 0.500 0.500
3 S 0.000 0.500 0.500
4 S 0.500 0.000 0.500
5 N 0.500 0.500 0.000


Here is a relaxed Sr2MgTl6Cd crystal from the Alexandria database. Energies are from GGA-PBE.

Output
**Space group**: No. 2
**Energy of formation from the pure elements**: -0.139 eV/atom

Cell lengths 6.328, 7.682, 7.806 Å; angles 73.14, 66.17, 65.98 degrees
Fractional coordinates of all 10 atoms:
1 Sr 0.007 0.234 0.252
2 Sr 0.993 0.766 0.748
3 Mg 0.500 0.500 0.000
4 Tl 0.003 0.684 0.309
5 Tl 0.326 0.924 0.924
6 Tl 0.495 0.318 0.691
7 Tl 0.505 0.682 0.309
8 Tl 0.674 0.076 0.076
9 Tl 0.997 0.316 0.691
10 Cd 0.500 0.000 0.500


Here is a relaxed HgRuBr2 crystal from the Alexandria database. Energies are from GGA-PBE.

Output
**E_form (uncorrected)**: 0.110 eV per atom
**Excess energy over the best structure of this formula in the dataset**: 0.141 eV/atom
**Space group**: No. 71

Cell lengths 7.535, 7.535, 7.535 Å; angles 155.51, 141.95, 45.77 degrees
Fractional coordinates of all 4 atoms:
1 Hg 0.000 0.000 0.000
2 Ru 0.500 0.500 0.000
3 Br 0.355 0.855 0.500
4 Br 0.645 0.145 0.500


Here is a relaxed ReTe2Br crystal from the Alexandria database. Energies are from GGA-PBE.

Output
**E_form (uncorrected)**: 0.726 eV per atom
**Excess energy over the best structure of this formula in the dataset**: 0.766 eV/atom
**Space group**: No. 25

Cell lengths 3.403, 3.957, 7.738 Å; angles 90.00, 90.00, 90.00 degrees
Fractional coordinates of all 4 atoms:
1 Re 0.000 0.000 0.000
2 Te 0.000 0.000 0.353
3 Te 0.500 0.500 0.117
4 Br 0.500 0.500 0.721